Computed, not measured: a relaxed structure of TlAsPCl2 at the GGA-PBE level of DFT.

Calculated values
volume = 151 Å³ per cell
energy above the most stable polymorph in this dataset = 661 meV per atom
crystal system = tetragonal
E = -13.2 eV per cell
energy relative to the elements, uncorrected = 13.61 kcal/mol of atoms

CIF file:
```
data_TlAsPCl2
_symmetry_space_group_name_H-M 'P 4/m m m'
_symmetry_Int_Tables_number 123
_symmetry_space_group_name_Hall '-P 4 2'
_cell_length_a 5.247
_cell_length_b 5.247
_cell_length_c 5.474
_cell_angle_alpha 90.00
_cell_angle_beta 90.00
_cell_angle_gamma 90.00
loop_
_atom_site_label
_atom_site_type_symbol
_atom_site_fract_x
_atom_site_fract_y
_atom_site_fract_z
Tl1 Tl 0.000 0.000 0.000
As1 As 0.500 0.500 0.500
P1 P 0.000 0.000 0.500
Cl1 Cl 0.000 0.500 0.000
```

***

Computed, not measured: a relaxed structure of Y8Zn2Ru at the GGA-PBE level of DFT.

Calculated values
volume = 615 Å³ per cell
energy above the most stable polymorph in this dataset = 76 meV per atom
crystal system = monoclinic
calculated formation energy = -0.131 eV/atom
E = -130.0 eV per cell

CIF file:
```
data_Y8Zn2Ru
_symmetry_space_group_name_H-M 'C 1 m 1'
_symmetry_Int_Tables_number 8
_cell_length_a 7.530
_cell_length_b 15.950
_cell_length_c 6.084
_cell_angle_alpha 90.00
_cell_angle_beta 122.69
_cell_angle_gamma 90.00
loop_
_symmetry_equiv_pos_as_xyz
'x,y,z'
'x,-y,z'
'x+1/2,y+1/2,z'
'x+1/2,-y+1/2,z'
loop_
_atom_site_label
_atom_site_type_symbol
_atom_site_fract_x
_atom_site_fract_y
_atom_site_fract_z
Y1 Y 0.000 0.000 0.000
Y2 Y 0.039 0.385 0.821
Y3 Y 0.048 0.500 0.347
Y4 Y 0.272 0.194 0.136
Y5 Y 0.491 0.383 0.477
Zn1 Zn 0.266 0.277 0.647
Ru1 Ru 0.263 0.000 0.831
```

***

Computed, not measured: a relaxed structure of YPuCdPb at the GGA-PBE level of DFT.

Calculated values
volume = 443 Å³ per cell
crystal system = cubic
calculated formation energy = -0.226 eV/atom
E = -105.3 eV per cell

CIF file:
```
data_YPuCdPb
_symmetry_space_group_name_H-M 'F -4 3 m'
_symmetry_Int_Tables_number 216
_symmetry_space_group_name_Hall 'F -4 2 3'
_cell_length_a 7.623
_cell_length_b 7.623
_cell_length_c 7.623
_cell_angle_alpha 90.00
_cell_angle_beta 90.00
_cell_angle_gamma 90.00
loop_
_atom_site_label
_atom_site_type_symbol
_atom_site_fract_x
_atom_site_fract_y
_atom_site_fract_z
Y1 Y 0.000 0.000 0.000
Pu1 Pu 0.000 0.000 0.500
Cd1 Cd 0.250 0.250 0.250
Pb1 Pb 0.250 0.250 0.750
```

***

Computed, not measured: a relaxed structure of Pu4Pt2Au at the GGA-PBE level of DFT.

Calculated values
volume = 441 Å³ per cell
crystal system = trigonal
calculated formation energy = -0.464 eV/atom
E = -227.8 eV per cell

CIF file:
```
data_Pu4Pt2Au
_symmetry_space_group_name_H-M 'R -3 m'
_symmetry_Int_Tables_number 166
_symmetry_space_group_name_Hall '-R 3 2"'
_cell_length_a 5.0222
_cell_length_b 5.0222
_cell_length_c 20.1718
_cell_angle_alpha 90.00
_cell_angle_beta 90.00
_cell_angle_gamma 120.00
loop_
_atom_site_label
_atom_site_type_symbol
_atom_site_fract_x
_atom_site_fract_y
_atom_site_fract_z
Pu1 Pu 0.0000 0.0000 0.1569
Pu2 Pu 0.0000 0.0000 0.2859
Pt1 Pt 0.0000 0.0000 0.4306
Au1 Au 0.0000 0.0000 0.0000
```

***

Computed, not measured: a relaxed structure of RbCd2Si at the GGA-PBE level of DFT.

Calculated values
volume = 603 Å³ per cell
crystal system = tetragonal
E = -30.0 eV per cell
energy relative to the elements, uncorrected = 4.12 kcal/mol of atoms

CIF file:
```
data_RbCd2Si
_symmetry_space_group_name_H-M 'I 41/a m d'
_symmetry_Int_Tables_number 141
_cell_length_a 5.933
_cell_length_b 5.933
_cell_length_c 17.133
_cell_angle_alpha 90.00
_cell_angle_beta 90.00
_cell_angle_gamma 90.00
loop_
_symmetry_equiv_pos_as_xyz
'x,y,z'
'-x,-y,-z'
'-y+1/4,x+3/4,z+1/4'
'y+1/4,-x+3/4,-z+1/4'
'-x+1/2,-y,z+1/2'
'x+1/2,y,-z+1/2'
'y+1/4,-x+1/4,z+3/4'
'-y+1/4,x+1/4,-z+3/4'
'x,-y,-z'
'-x,y,z'
'-y+1/4,-x+1/4,-z+3/4'
'y+1/4,x+1/4,z+3/4'
'-x+1/2,y,-z+1/2'
'x+1/2,-y,z+1/2'
'y+1/4,x+3/4,-z+1/4'
'-y+1/4,-x+3/4,z+1/4'
'x+1/2,y+1/2,z+1/2'
'-x+1/2,-y+1/2,-z+1/2'
'-y+3/4,x+1/4,z+3/4'
'y+3/4,-x+1/4,-z+3/4'
'-x,-y+1/2,z'
'x,y+1/2,-z'
'y+3/4,-x+3/4,z+1/4'
'-y+3/4,x+3/4,-z+1/4'
'x+1/2,-y+1/2,-z+1/2'
'-x+1/2,y+1/2,z+1/2'
'-y+3/4,-x+3/4,-z+1/4'
'y+3/4,x+3/4,z+1/4'
'-x,y+1/2,-z'
'x,-y+1/2,z'
'y+3/4,x+1/4,-z+3/4'
'-y+3/4,-x+1/4,z+3/4'
loop_
_atom_site_label
_atom_site_type_symbol
_atom_site_fract_x
_atom_site_fract_y
_atom_site_fract_z
Rb1 Rb 0.000 0.250 0.375
Cd1 Cd 0.000 0.000 0.000
Si1 Si 0.000 0.250 0.875
```

***

Computed, not measured: a relaxed structure of Tb2AuBr at the GGA-PBE level of DFT.

Calculated values
volume = 431 Å³ per cell
energy above the most stable polymorph in this dataset = 44 meV per atom
crystal system = trigonal
E = -53.2 eV per cell
energy relative to the elements, uncorrected = -20.22 kcal/mol of atoms

CIF file:
```
data_Tb2AuBr
_symmetry_space_group_name_H-M 'R -3 m'
_symmetry_Int_Tables_number 166
_symmetry_space_group_name_Hall '-R 3 2"'
_cell_length_a 4.4502
_cell_length_b 4.4502
_cell_length_c 25.1023
_cell_angle_alpha 90.00
_cell_angle_beta 90.00
_cell_angle_gamma 120.00
loop_
_atom_site_label
_atom_site_type_symbol
_atom_site_fract_x
_atom_site_fract_y
_atom_site_fract_z
Tb1 Tb 0.0000 0.0000 0.1125
Au1 Au 0.0000 0.0000 0.5000
Br1 Br 0.0000 0.0000 0.0000
```

***

Please write out number 2 again, unchanged.
Computed, not measured: a relaxed structure of Y8Zn2Ru at the GGA-PBE level of DFT.

Calculated values
volume = 615 Å³ per cell
energy above the most stable polymorph in this dataset = 76 meV per atom
crystal system = monoclinic
calculated formation energy = -0.131 eV/atom
E = -130.0 eV per cell

CIF file:
```
data_Y8Zn2Ru
_symmetry_space_group_name_H-M 'C 1 m 1'
_symmetry_Int_Tables_number 8
_cell_length_a 7.530
_cell_length_b 15.950
_cell_length_c 6.084
_cell_angle_alpha 90.00
_cell_angle_beta 122.69
_cell_angle_gamma 90.00
loop_
_symmetry_equiv_pos_as_xyz
'x,y,z'
'x,-y,z'
'x+1/2,y+1/2,z'
'x+1/2,-y+1/2,z'
loop_
_atom_site_label
_atom_site_type_symbol
_atom_site_fract_x
_atom_site_fract_y
_atom_site_fract_z
Y1 Y 0.000 0.000 0.000
Y2 Y 0.039 0.385 0.821
Y3 Y 0.048 0.500 0.347
Y4 Y 0.272 0.194 0.136
Y5 Y 0.491 0.383 0.477
Zn1 Zn 0.266 0.277 0.647
Ru1 Ru 0.263 0.000 0.831
```

***

Among the records above, which one has the lowest volume?
TlAsPCl2

***

What is the volume in the sixth record?
431 Å³ per cell

***

What did the second record say?
Computed, not measured: a relaxed structure of Y8Zn2Ru at the GGA-PBE level of DFT.

Calculated values
volume = 615 Å³ per cell
energy above the most stable polymorph in this dataset = 76 meV per atom
crystal system = monoclinic
calculated formation energy = -0.131 eV/atom
E = -130.0 eV per cell

CIF file:
```
data_Y8Zn2Ru
_symmetry_space_group_name_H-M 'C 1 m 1'
_symmetry_Int_Tables_number 8
_cell_length_a 7.530
_cell_length_b 15.950
_cell_length_c 6.084
_cell_angle_alpha 90.00
_cell_angle_beta 122.69
_cell_angle_gamma 90.00
loop_
_symmetry_equiv_pos_as_xyz
'x,y,z'
'x,-y,z'
'x+1/2,y+1/2,z'
'x+1/2,-y+1/2,z'
loop_
_atom_site_label
_atom_site_type_symbol
_atom_site_fract_x
_atom_site_fract_y
_atom_site_fract_z
Y1 Y 0.000 0.000 0.000
Y2 Y 0.039 0.385 0.821
Y3 Y 0.048 0.500 0.347
Y4 Y 0.272 0.194 0.136
Y5 Y 0.491 0.383 0.477
Zn1 Zn 0.266 0.277 0.647
Ru1 Ru 0.263 0.000 0.831
```